Record 1
BeZn2Co: relaxed, PBE-GGA.

```
4
Lattice="4.0199 0.0000 0.0000 2.0099 3.4813 0.0000 2.0099 1.1604 3.2822" Properties=species:S:1:pos:R:3 pbc="T T T"
Zn 0.0000 0.0000 0.0000
Zn 2.0099 1.1604 0.8206
Co 6.0298 3.4813 2.4617
Be 4.0199 2.3209 1.6411
```

Properties
* DFT formation energy: 0.03 eV/atom



Record 2
BeZnCo: relaxed, PBE-GGA.

```
6
Lattice="0.3667 0.2084 -3.4415 -3.0659 -1.5629 -0.4231 -3.1007 4.5603 -0.8501" Properties=species:S:1:pos:R:3 pbc="T T T"
Zn -3.0292 2.7597 -1.8254
Zn -2.7707 0.4460 -2.8892
Co -4.4269 2.1540 -3.7704
Co -1.3730 1.0517 -0.9443
Be -2.2013 -1.1168 -1.1833
Be -0.4979 -0.2378 -2.6812
```

Properties
* DFT formation energy: 0.05 eV/atom
* polymorph energy (0 for the lowest one): 160 meV per atom



Record 3
BeZnCo2: relaxed, PBE-GGA.

```
4
Lattice="3.3206 1.4107 1.4833 0.1228 3.6428 1.3899 0.3158 0.6130 3.8394" Properties=species:S:1:pos:R:3 pbc="T T T"
Zn 1.8797 2.8332 3.3563
Be 0.0000 0.0000 0.0000
Co 2.8195 4.2498 5.0345
Co 0.9398 1.4166 1.6782
```

Properties
* DFT formation energy: -0.03 eV/atom
* polymorph energy (0 for the lowest one): 87 meV per atom



Record 4
ZrBeZnCo2: relaxed, PBE-GGA.

```
5
Lattice="4.2908 0.0000 0.0000 0.0000 4.8125 0.0000 0.0000 0.0000 4.2908" Properties=species:S:1:pos:R:3 pbc="T T T"
Zn 0.0000 0.0000 0.0000
Zr 0.0000 2.4062 0.0000
Co 2.1454 0.0000 0.0000
Co 0.0000 0.0000 2.1454
Be 2.1454 2.4062 2.1454
```

Properties
* DFT formation energy: 1.22 eV/atom
* polymorph energy (0 for the lowest one): 0 meV per atom



Record 5
ZrBeZnCo2: relaxed, PBE-GGA.

```
5
Lattice="4.4990 0.0000 0.0000 0.0000 4.6783 0.0000 0.0000 0.0000 4.4990" Properties=species:S:1:pos:R:3 pbc="T T T"
Co 0.0000 0.0000 2.2495
Co 2.2495 0.0000 0.0000
Zn 2.2495 2.3391 2.2495
Be 0.0000 2.3391 0.0000
Zr 0.0000 0.0000 0.0000
```

Properties
* DFT formation energy: 1.51 eV/atom
* polymorph energy (0 for the lowest one): 290 meV per atom



Record 6
ZrBeZnCo: relaxed, PBE-GGA.

```
4
Lattice="4.2687 0.0000 0.0000 2.1343 3.6968 0.0000 2.1343 1.2323 3.4854" Properties=species:S:1:pos:R:3 pbc="T T T"
Zr 4.2687 2.4645 1.7427
Co 6.4030 3.6968 2.6140
Be 2.1343 1.2323 0.8713
Zn 0.0000 0.0000 0.0000
```

Properties
* DFT formation energy: -0.12 eV/atom



Record 7
Zr2Be2ZnCo5: relaxed, PBE-GGA.

```
20
Lattice="3.1655 0.0000 0.0000 0.0000 8.7912 0.0000 0.0000 0.0000 8.7912" Properties=species:S:1:pos:R:3 pbc="T T T"
Co 1.5827 4.3956 0.0000
Co 1.5827 6.2999 3.8126
Co 1.5827 2.4913 4.9786
Co 1.5827 4.9786 6.2999
Co 1.5827 8.2082 1.9043
Co 1.5827 1.9043 0.5830
Co 1.5827 3.8126 2.4913
Co 1.5827 0.0000 4.3956
Co 1.5827 6.8869 8.2082
Co 1.5827 0.5830 6.8869
Zr 0.0000 1.5705 2.8251
Zr 0.0000 5.9660 1.5705
Zr 0.0000 2.8251 7.2207
Zr 0.0000 7.2207 5.9660
Zn 0.0000 0.0000 0.0000
Zn 0.0000 4.3956 4.3956
Be 0.0000 5.4262 7.7606
Be 0.0000 3.3650 1.0306
Be 0.0000 7.7606 3.3650
Be 0.0000 1.0306 5.4262
```

Properties
* DFT formation energy: -0.30 eV/atom



Record 8
Zr2BeCo3: relaxed, PBE-GGA.

```
12
Lattice="-0.8096 4.8630 -0.8504 -0.2052 -3.2687 -3.7817 -7.2495 -0.9886 1.2479" Properties=species:S:1:pos:R:3 pbc="T T T"
Be 0.0000 0.0000 0.0000
Be -3.6248 -0.4943 0.6240
Co -5.7359 0.3162 0.0380
Co -2.5283 0.2896 -3.4221
Co -6.1477 2.7897 -0.3945
Co -2.1166 -2.1840 -2.9896
Co -2.0122 -0.5214 -1.0661
Co -6.2521 1.1271 -2.3181
Zr -7.2449 -1.4907 -1.6275
Zr -3.8216 1.7142 -1.2743
Zr -1.0194 2.0964 -1.7567
Zr -4.4427 -1.1085 -2.1098
```

Properties
* DFT formation energy: -0.35 eV/atom



Record 9
Zr2Be9Co: relaxed, PBE-GGA.

```
12
Lattice="-2.2791 2.1349 -3.3028 1.4872 -0.2106 -4.2900 -4.2553 -5.3084 -3.6226" Properties=species:S:1:pos:R:3 pbc="T T T"
Be -4.4567 -2.8620 -5.0300
Be -4.5095 -4.6524 -6.1508
Be -0.5377 1.2683 -5.0646
Be -2.5236 -1.6920 -5.6077
Be -2.5949 -4.0215 -5.5181
Be -2.4524 0.6374 -5.6973
Be -1.3257 -0.4179 -4.0646
Be -3.7215 -2.9661 -7.1508
Be -0.5905 -0.5220 -6.1854
Co 0.0000 0.0000 0.0000
Zr -2.5009 -0.6232 -8.0602
Zr -2.5463 -2.7608 -3.1552
```

Properties
* DFT formation energy: 0.01 eV/atom



Record 10
ZrBeCo3: relaxed, PBE-GGA.

```
5
Lattice="3.9366 0.0000 0.0000 0.0000 3.9366 0.0000 0.0000 0.0000 3.9366" Properties=species:S:1:pos:R:3 pbc="T T T"
Co 1.9683 0.0000 0.0000
Co 0.0000 1.9683 0.0000
Co 0.0000 0.0000 1.9683
Zr 1.9683 1.9683 1.9683
Be 0.0000 0.0000 0.0000
```

Properties
* DFT formation energy: -0.10 eV/atom
* polymorph energy (0 for the lowest one): 0 meV per atom



Record 11
ZrBeCo2: relaxed, PBE-GGA.

```
8
Lattice="3.8766 0.0000 0.0000 0.0000 3.8766 0.0000 1.9383 1.9383 7.6240" Properties=species:S:1:pos:R:3 pbc="T T T"
Co 1.4351 2.9074 1.9060
Co 2.9074 3.3734 5.7180
Co 4.8457 4.3797 5.7180
Co 2.4414 0.9691 1.9060
Zr 3.8766 1.9383 3.8120
Zr 0.0000 0.0000 0.0000
Be 1.9383 3.8766 3.8120
Be 1.9383 1.9383 0.0000
```

Properties
* DFT formation energy: 0.19 eV/atom



Record 12
ZrBe2Co3: relaxed, PBE-GGA.

```
6
Lattice="-0.7946 2.5659 1.9975 -4.2861 -2.0826 0.9702 3.8634 -0.9742 2.7883" Properties=species:S:1:pos:R:3 pbc="T T T"
Be 1.1416 -1.3463 2.1836
Be -1.5749 -1.7157 1.5774
Co -0.6140 -0.2481 2.8792
Co 1.5290 0.7933 2.3941
Co -2.5458 0.2390 1.4850
Zr -0.0053 -0.0026 0.0012
```

Properties
* DFT formation energy: -0.33 eV/atom



Record 13
Zr2Be4Co5: relaxed, PBE-GGA.

```
11
Lattice="-4.9526 -1.2880 -0.1640 -1.7276 -3.8433 2.4348 -3.5610 2.9105 4.7593" Properties=species:S:1:pos:R:3 pbc="T T T"
Co -6.3587 -1.4324 3.4741
Co -3.3401 -2.5657 1.1354
Co -0.8638 -1.9217 1.2174
Co -2.4763 -0.6440 -0.0820
Co -3.8824 -0.7884 3.5561
Be -4.7151 -2.5943 2.9236
Be -5.5261 0.3734 4.1066
Be -7.6910 -1.6012 5.0713
Be -2.5502 -0.6196 1.9588
Zr -5.2450 -0.3299 1.1411
Zr -3.2686 1.9524 3.4543
```

Properties
* DFT formation energy: -0.24 eV/atom



Record 14
ZrBe2Co: relaxed, PBE-GGA.

```
4
Lattice="0.0000 2.8855 2.8855 2.8855 0.0000 2.8855 2.8855 2.8855 0.0000" Properties=species:S:1:pos:R:3 pbc="T T T"
Be 4.3283 4.3283 4.3283
Be 1.4428 1.4428 1.4428
Co 0.0000 0.0000 0.0000
Zr 2.8855 2.8855 2.8855
```

Properties
* DFT formation energy: -0.14 eV/atom
* polymorph energy (0 for the lowest one): 125 meV per atom



Record 15
Zr2BeCo: relaxed, PBE-GGA.

```
8
Lattice="7.0583 0.0000 0.0000 0.0000 7.0583 0.0000 3.5292 3.5292 2.7650" Properties=species:S:1:pos:R:3 pbc="T T T"
Zr 1.5669 5.2938 0.6913
Zr 5.2938 5.0961 2.0738
Zr 8.8229 9.0206 2.0738
Zr 5.4914 1.7646 0.6913
Co 0.0000 0.0000 0.0000
Co 7.0583 3.5292 1.3825
Be 3.5292 3.5292 0.0000
Be 3.5292 7.0583 1.3825
```

Properties
* DFT formation energy: 0.30 eV/atom



Record 16
Zr2Be3Co: relaxed, PBE-GGA.

```
6
Lattice="4.2671 -0.1253 -2.2437 -2.7112 3.9831 -0.2060 -0.2084 0.1027 4.7860" Properties=species:S:1:pos:R:3 pbc="T T T"
Zr -0.8033 2.5562 3.5153
Zr 2.1509 1.4044 -1.1790
Be 0.6738 1.9803 1.1681
Be 2.0293 -0.0113 1.2711
Be -0.1042 0.0513 2.3930
Co 0.0000 0.0000 0.0000
```

Properties
* DFT formation energy: -0.18 eV/atom
* polymorph energy (0 for the lowest one): 0 meV per atom



Record 17
ZrBeCo2: relaxed, PBE-GGA.

```
4
Lattice="8.5358 0.0046 0.0027 8.1013 2.6885 0.0027 8.1013 1.3114 2.3469" Properties=species:S:1:pos:R:3 pbc="T T T"
Co 0.0640 0.0104 0.0061
Co 6.4869 1.0500 0.6168
Be 18.2369 2.9520 1.7341
Zr 12.3198 1.9942 1.1715
```

Properties
* DFT formation energy: 0.31 eV/atom



Record 18
ZrBeCo2: relaxed, PBE-GGA.

```
4
Lattice="3.7941 -0.0134 0.0244 1.9090 3.2789 0.0244 1.8789 1.0758 4.2976" Properties=species:S:1:pos:R:3 pbc="T T T"
Co 3.7938 2.1723 1.5765
Co 5.7003 3.2639 0.6456
Zr 5.6865 3.2560 3.2599
Be 1.8955 1.0853 1.0866
```

Properties
* DFT formation energy: -0.17 eV/atom



Record 19
ZrBeCo2: relaxed, PBE-GGA.

```
4
Lattice="2.8996 0.0000 0.0000 0.0000 2.8996 0.0000 0.0000 0.0000 6.1852" Properties=species:S:1:pos:R:3 pbc="T T T"
Be 1.4498 1.4498 5.0412
Co 1.4498 1.4498 1.1875
Co 0.0000 0.0000 6.0912
Zr 0.0000 0.0000 3.1431
```

Properties
* DFT formation energy: -0.05 eV/atom



Record 20
ZrBeCo2: relaxed, PBE-GGA.

```
12
Lattice="4.6823 0.0000 1.4885 2.1045 4.1827 1.4885 0.1459 0.0899 7.6498" Properties=species:S:1:pos:R:3 pbc="T T T"
Zr 1.0430 0.6428 4.8278
Zr 5.8898 3.6298 5.7990
Zr 0.0000 0.0000 0.0000
Be 2.2582 1.3917 1.0053
Be 3.4664 2.1363 5.3134
Be 4.6745 2.8809 9.6215
Co 3.9377 3.8666 3.8307
Co 2.8876 1.7796 3.0880
Co 1.7088 2.4930 6.7961
Co 4.0451 2.4930 7.5388
Co 5.2239 1.7796 3.8307
Co 2.9950 0.4060 6.7961
```

Properties
* DFT formation energy: -0.36 eV/atom



Record 21
Zr2BeCo2: relaxed, PBE-GGA.

```
10
Lattice="-4.2114 0.2621 4.4781 2.5830 -4.8803 2.7147 2.3654 2.4109 2.0834" Properties=species:S:1:pos:R:3 pbc="T T T"
Co -2.0199 -2.8593 5.6019
Co 0.6930 -4.1374 4.0009
Co 0.3914 -1.7589 1.5910
Co -2.3214 -0.4808 3.1919
Zr -1.4423 -0.1362 5.5745
Zr 2.1792 -2.0711 3.7018
Zr 0.3075 0.4052 2.9614
Zr 0.4294 -2.6125 6.3149
Be -0.8142 -2.3091 3.5964
Be 0.0000 0.0000 0.0000
```

Properties
* DFT formation energy: -0.18 eV/atom
* polymorph energy (0 for the lowest one): 155 meV per atom



Record 22
ZrBe2Co: relaxed, PBE-GGA.

```
4
Lattice="-3.0440 1.9454 -0.1438 -2.6067 -0.9142 -2.3325 -3.7182 -2.2886 2.2472" Properties=species:S:1:pos:R:3 pbc="T T T"
Co -2.3422 -0.3144 -0.0573
Be -5.9069 0.6604 -2.0431
Be -4.4283 -0.2579 -0.5478
Zr -7.0267 -0.9431 -0.1718
```

Properties
* DFT formation energy: -0.24 eV/atom
* polymorph energy (0 for the lowest one): 18 meV per atom



Record 23
Zr3BeCo8: relaxed, PBE-GGA.

```
12
Lattice="-1.7276 -3.5550 -2.7612 -0.2126 -4.5002 1.7174 -7.8678 -1.3002 2.3871" Properties=species:S:1:pos:R:3 pbc="T T T"
Co -6.0394 -7.2691 0.5088
Co -7.4776 -5.5959 1.3485
Co -3.4957 -2.6717 -0.6656
Co -2.7461 -3.1394 1.5505
Co -6.6094 -3.8093 2.7361
Co -1.1223 -2.5939 -0.1678
Co -2.6409 -0.9126 0.7007
Co -7.3707 -3.3343 0.4854
Zr -2.2441 -5.1878 -0.3358
Zr -5.0493 -4.6498 0.7267
Zr -7.6532 -1.3414 2.3058
Be -4.9706 -1.8558 1.2898
```

Properties
* DFT formation energy: -0.22 eV/atom



Record 24
ZrBeCo5: relaxed, PBE-GGA.

```
28
Lattice="-2.4468 3.3853 2.0844 1.1079 -3.3243 6.6996 8.0685 5.0962 1.1944" Properties=species:S:1:pos:R:3 pbc="T T T"
Co 5.1677 3.6940 7.9076
Co 4.5105 5.2910 4.5425
Co 5.9444 3.8846 5.7618
Co 3.3810 2.9453 1.7989
Co 5.6321 3.3607 1.2873
Co 0.2167 -1.0654 4.5983
Co 7.1049 2.2789 4.7732
Co 3.3487 2.2118 8.1795
Co 2.2581 0.1908 7.7024
Co 0.7853 1.2726 4.2166
Co 3.2337 1.4833 4.0004
Co -0.3752 2.8783 5.2053
Co 4.4716 4.9664 2.2760
Co 1.5620 1.4632 2.0709
Co 6.5130 6.2226 5.3802
Co 3.4960 3.6738 5.9780
Co 1.1178 -1.8651 6.9550
Co 1.0976 1.7965 8.6911
Co 5.6119 7.0223 3.0234
Co 2.2192 -0.1338 5.4360
Be 1.7526 2.2215 6.2903
Be 4.9771 2.9357 3.6881
Be 7.2495 2.3590 7.2923
Be -0.5199 2.7982 2.6861
Zr -0.4890 0.3166 6.7529
Zr 1.9910 3.8950 3.8522
Zr 4.7386 1.2621 6.1262
Zr 7.2187 4.8406 3.2256
```

Properties
* DFT formation energy: -0.13 eV/atom